# 1
# PBE-GGA Ho3Er8In4, relaxed
# - ΔH_f (0 K): 89 meV/atom
# - Symmetry: No. 12
# - Total DFT energy (no corrections): -59.860 eV per cell
data_Ho3Er8In4
_chemical_formula_sum 'Ho3 Er8 In4'
_space_group_name_H-M_alt 'P 1'
_space_group_IT_number 1
_cell_length_a 9.003
_cell_length_b 9.003
_cell_length_c 6.534
_cell_angle_alpha 110.92
_cell_angle_beta 110.92
_cell_angle_gamma 89.30
loop_
_space_group_symop_operation_xyz
'x,y,z'
loop_
_atom_site_label
_atom_site_type_symbol
_atom_site_fract_x
_atom_site_fract_y
_atom_site_fract_z
Ho1 Ho 0.000 0.000 0.000
Ho2 Ho 0.000 0.500 0.500
Ho3 Ho 0.500 0.000 0.500
Er1 Er 0.261 0.261 0.009
Er2 Er 0.262 0.738 0.000
Er3 Er 0.271 0.271 0.520
Er4 Er 0.359 0.641 0.500
Er5 Er 0.641 0.359 0.500
Er6 Er 0.729 0.729 0.480
Er7 Er 0.738 0.262 0.000
Er8 Er 0.739 0.739 0.991
In1 In 0.000 0.000 0.500
In2 In 0.000 0.500 0.000
In3 In 0.500 0.000 0.000
In4 In 0.500 0.500 0.000

# 2
# PBE-GGA Y2MgIn, relaxed
# - ΔH_f (0 K): 88 meV/atom
# - Symmetry: No. 122
# - Total DFT energy (no corrections): -33.815 eV per cell
data_Y2MgIn
_chemical_formula_sum 'Y4 Mg2 In2'
_space_group_name_H-M_alt 'P 1'
_space_group_IT_number 1
_cell_length_a 6.827
_cell_length_b 6.827
_cell_length_c 6.827
_cell_angle_alpha 103.42
_cell_angle_beta 103.42
_cell_angle_gamma 122.40
loop_
_space_group_symop_operation_xyz
'x,y,z'
loop_
_atom_site_label
_atom_site_type_symbol
_atom_site_fract_x
_atom_site_fract_y
_atom_site_fract_z
Y1 Y 0.116 0.125 0.491
Y2 Y 0.375 0.884 0.009
Y3 Y 0.634 0.625 0.509
Y4 Y 0.875 0.366 0.991
Mg1 Mg 0.250 0.750 0.500
Mg2 Mg 0.500 0.500 0.000
In1 In 0.000 0.000 0.000
In2 In 0.750 0.250 0.500

# 3
# PBE-GGA Li3CaMn, relaxed
# - ΔH_f (0 K): 477 meV/atom
# - Symmetry: No. 221
# - Total DFT energy (no corrections): -14.530 eV per cell
data_Li3CaMn
_chemical_formula_sum 'Li3 Ca1 Mn1'
_space_group_name_H-M_alt 'P 1'
_space_group_IT_number 1
_cell_length_a 5.010
_cell_length_b 5.010
_cell_length_c 5.010
_cell_angle_alpha 90.00
_cell_angle_beta 90.00
_cell_angle_gamma 90.00
loop_
_space_group_symop_operation_xyz
'x,y,z'
loop_
_atom_site_label
_atom_site_type_symbol
_atom_site_fract_x
_atom_site_fract_y
_atom_site_fract_z
Li1 Li 0.000 0.000 0.500
Li2 Li 0.000 0.500 0.000
Li3 Li 0.500 0.000 0.000
Ca1 Ca 0.500 0.500 0.500
Mn1 Mn 0.000 0.000 0.000

# 4
# PBE-GGA Ho4TcAg, relaxed
# - ΔH_f (0 K): -190 meV/atom
# - Symmetry: No. 15
# - Total DFT energy (no corrections): -65.338 eV per cell
data_Ho4TcAg
_chemical_formula_sum 'Ho8 Tc2 Ag2'
_space_group_name_H-M_alt 'P 1'
_space_group_IT_number 1
_cell_length_a 7.517
_cell_length_b 7.517
_cell_length_c 6.272
_cell_angle_alpha 98.66
_cell_angle_beta 98.66
_cell_angle_gamma 112.44
loop_
_space_group_symop_operation_xyz
'x,y,z'
loop_
_atom_site_label
_atom_site_type_symbol
_atom_site_fract_x
_atom_site_fract_y
_atom_site_fract_z
Ho1 Ho 0.069 0.723 0.959
Ho2 Ho 0.209 0.365 0.592
Ho3 Ho 0.277 0.931 0.541
Ho4 Ho 0.365 0.209 0.092
Ho5 Ho 0.635 0.791 0.908
Ho6 Ho 0.723 0.069 0.459
Ho7 Ho 0.791 0.635 0.408
Ho8 Ho 0.931 0.277 0.041
Tc1 Tc 0.001 0.999 0.750
Tc2 Tc 0.999 0.001 0.250
Ag1 Ag 0.373 0.627 0.250
Ag2 Ag 0.627 0.373 0.750

# 5
# PBE-GGA ZrScSb2, relaxed
# - Symmetry: No. 8
# - Total DFT energy (no corrections): -25.654 eV per cell
# - Energy relative to the elements, uncorrected: -0.632 eV per atom
data_ZrScSb2
_chemical_formula_sum 'Zr1 Sc1 Sb2'
_space_group_name_H-M_alt 'P 1'
_space_group_IT_number 1
_cell_length_a 5.628
_cell_length_b 5.628
_cell_length_c 4.797
_cell_angle_alpha 90.27
_cell_angle_beta 90.27
_cell_angle_gamma 39.43
loop_
_space_group_symop_operation_xyz
'x,y,z'
loop_
_atom_site_label
_atom_site_type_symbol
_atom_site_fract_x
_atom_site_fract_y
_atom_site_fract_z
Zr1 Zr 0.000 0.000 0.000
Sc1 Sc 0.762 0.762 0.497
Sb1 Sb 0.277 0.277 0.998
Sb2 Sb 0.490 0.490 0.500

# 6
# PBE-GGA PrGa4Pd2Au, relaxed
# - ΔH_f (0 K): -546 meV/atom
# - Symmetry: No. 166
# - Total DFT energy (no corrections): -34.916 eV per cell
data_PrGa4Pd2Au
_chemical_formula_sum 'Pr1 Ga4 Pd2 Au1'
_space_group_name_H-M_alt 'P 1'
_space_group_IT_number 1
_cell_length_a 9.481
_cell_length_b 9.481
_cell_length_c 9.481
_cell_angle_alpha 26.48
_cell_angle_beta 26.48
_cell_angle_gamma 26.48
loop_
_space_group_symop_operation_xyz
'x,y,z'
loop_
_atom_site_label
_atom_site_type_symbol
_atom_site_fract_x
_atom_site_fract_y
_atom_site_fract_z
Pr1 Pr 0.000 0.000 0.000
Ga1 Ga 0.124 0.124 0.124
Ga2 Ga 0.399 0.399 0.399
Ga3 Ga 0.601 0.601 0.601
Ga4 Ga 0.876 0.876 0.876
Pd1 Pd 0.243 0.243 0.243
Pd2 Pd 0.757 0.757 0.757
Au1 Au 0.500 0.500 0.500

What did the second record say?
# PBE-GGA Y2MgIn, relaxed
# - ΔH_f (0 K): 88 meV/atom
# - Symmetry: No. 122
# - Total DFT energy (no corrections): -33.815 eV per cell
data_Y2MgIn
_chemical_formula_sum 'Y4 Mg2 In2'
_space_group_name_H-M_alt 'P 1'
_space_group_IT_number 1
_cell_length_a 6.827
_cell_length_b 6.827
_cell_length_c 6.827
_cell_angle_alpha 103.42
_cell_angle_beta 103.42
_cell_angle_gamma 122.40
loop_
_space_group_symop_operation_xyz
'x,y,z'
loop_
_atom_site_label
_atom_site_type_symbol
_atom_site_fract_x
_atom_site_fract_y
_atom_site_fract_z
Y1 Y 0.116 0.125 0.491
Y2 Y 0.375 0.884 0.009
Y3 Y 0.634 0.625 0.509
Y4 Y 0.875 0.366 0.991
Mg1 Mg 0.250 0.750 0.500
Mg2 Mg 0.500 0.500 0.000
In1 In 0.000 0.000 0.000
In2 In 0.750 0.250 0.500

Look up the total DFT energy (no corrections) of the sixth one.
-34.916 eV per cell

Which value of total DFT energy (no corrections) does entry 2 give?
-33.815 eV per cell